This record from the Alexandria database describes a crystal of TlCuSe2 relaxed with PBEsol. The functional is SCAN.

Lattice parameters (Å, degrees): 3.696 4.727 5.885 89.39 90.00 90.00
Positions (direct):
Tl  0.500  0.000  0.500
Se  0.000  0.504  0.248
Se  0.000  0.496  0.752
Cu  0.500  0.500  0.000

Calculated values
crystal system	monoclinic
formation energy without anion corrections	-0.203	eV per atom
total magnetic moment	0.000	μB per atom
Fermi-level density of states	1.06	states/eV/f.u.